*P*
DFT (PBE-GGA) results for an optimized crystal structure of Bi2Te2Pb.

Computed properties:
D(E_F) = 1.68 states/eV per cell

```
Bi2Te2Pb
1.0
4.4331 0.0000 0.0000
0.0000 4.4331 0.0000
2.2166 2.2166 8.7853
Te Bi Pb
2 2 1
direct
0.4092 0.4092 0.1815
0.5908 0.5908 0.8185
0.7500 0.2500 0.5000
0.2500 0.7500 0.5000
0.0000 0.0000 0.0000
```

---

*Q*
DFT (PBE-GGA) results for an optimized crystal structure of Bi2Te2Pb.

Computed properties:
D(E_F) = 6.31 states/eV per cell

```
Bi2Te2Pb
1.0
8.8466 0.0000 0.0000
0.0000 8.8466 0.0000
0.0000 0.0000 4.1618
Pb Bi Te
2 4 4
direct
0.0000 0.0000 0.0000
0.5000 0.5000 0.0000
0.3557 0.8557 0.0000
0.1443 0.3557 0.0000
0.6443 0.1443 0.0000
0.8557 0.6443 0.0000
0.6726 0.8274 0.5000
0.8274 0.3274 0.5000
0.1726 0.6726 0.5000
0.3274 0.1726 0.5000
```

---

Most favorable first, least favorable last: *Q*, *P*

---

*P*
DFT (PBE-GGA) results for an optimized crystal structure of Bi2Te2Pb.

Computed properties:
D(E_F) = 3.43 states/eV per cell

```
Bi2Te2Pb
1.0
-4.3683 3.6735 2.2780
-2.4280 0.5942 -5.6141
-6.2207 -1.7261 -0.8559
Bi Te Pb
2 2 1
direct
0.3333 0.3333 0.3333
0.6667 0.6667 0.6667
0.2500 0.7500 0.5000
0.7500 0.2500 0.5000
0.0000 0.0000 0.0000
```

---

*Q*
DFT (PBE-GGA) results for an optimized crystal structure of Bi2Te2Pb.

Computed properties:
D(E_F) = 6.06 states/eV per cell

```
Bi2Te2Pb
1.0
-8.2957 3.0309 1.9214
-2.4335 -1.1946 -8.6225
-1.1761 -3.7597 0.8528
Te Bi Pb
4 4 2
direct
0.6484 0.1484 0.0000
0.3516 0.8516 0.0000
0.8516 0.6484 0.0000
0.1484 0.3516 0.0000
0.8280 0.3280 0.5000
0.1720 0.6720 0.5000
0.3280 0.1720 0.5000
0.6720 0.8280 0.5000
0.0000 0.0000 0.0000
0.5000 0.5000 0.0000
```

---

Most favorable first, least favorable last: *Q*, *P*

---

*P*
DFT (PBE-GGA) results for an optimized crystal structure of ThBiPb2.

Computed properties:
D(E_F) = 2.34 states/eV per cell

```
ThBiPb2
1.0
5.1302 0.0000 0.0000
0.0000 4.8327 0.0000
0.0000 0.0000 4.8327
Bi Th Pb
1 1 2
direct
0.5000 0.5000 0.5000
0.5000 0.0000 0.0000
0.0000 0.0000 0.5000
0.0000 0.5000 0.0000
```

---

*Q*
DFT (PBE-GGA) results for an optimized crystal structure of ThBiPb2.

Computed properties:
D(E_F) = 5.01 states/eV per cell

```
ThBiPb2
1.0
3.4794 0.0000 0.0000
1.7397 3.0132 0.0000
1.7397 1.0044 12.5564
Th Bi Pb
1 1 2
direct
0.0000 0.0000 0.0000
0.5000 0.5000 0.5000
0.0889 0.0889 0.7334
0.9111 0.9111 0.2666
```

---

Most favorable first, least favorable last: *P*, *Q*

---

*P*
DFT (PBE-GGA) results for an optimized crystal structure of TmThBiPb.

Computed properties:
D(E_F) = 5.22 states/eV per cell

```
TmThBiPb
1.0
5.5072 0.0000 0.0000
2.7536 4.7694 0.0000
2.7536 1.5898 4.4966
Th Tm Bi Pb
1 1 1 1
direct
0.2500 0.2500 0.2500
0.7500 0.7500 0.7500
0.0000 0.0000 0.0000
0.5000 0.5000 0.5000
```

---

*Q*
DFT (PBE-GGA) results for an optimized crystal structure of TmThBiPb.

Computed properties:
D(E_F) = 1.64 states/eV per cell

```
TmThBiPb
1.0
-1.1807 4.9324 0.1255
-3.4039 1.8773 -3.2601
-5.5380 1.2189 2.5366
Th Pb Tm Bi
1 1 1 1
direct
0.6970 0.6970 0.9090
0.4506 0.4506 0.6482
0.1945 0.1945 0.4164
0.9343 0.9343 0.1971
```

---

Most favorable first, least favorable last: *Q*, *P*

---

*P*
DFT (PBE-GGA) results for an optimized crystal structure of Ti2BiPb.

Computed properties:
D(E_F) = 5.54 states/eV per cell

```
Ti2BiPb
1.0
-3.2445 -3.7199 0.5540
-4.8772 0.8946 -0.2897
-2.5968 -1.6330 -3.9066
Bi Pb Ti
1 1 2
direct
0.5000 0.5000 0.5000
0.0000 0.0000 0.0000
0.7500 0.7500 0.7500
0.2500 0.2500 0.2500
```

---

*Q*
DFT (PBE-GGA) results for an optimized crystal structure of Ti2BiPb.

Computed properties:
D(E_F) = 3.56 states/eV per cell

```
Ti2BiPb
1.0
4.0537 0.0000 0.0000
2.0268 3.5106 0.0000
2.0268 1.1702 6.6258
Bi Ti Pb
1 2 1
direct
0.0000 0.0000 0.0000
0.7517 0.7517 0.7448
0.2483 0.2483 0.2552
0.5000 0.5000 0.5000
```

---

Most favorable first, least favorable last: *Q*, *P*

---

*P*
DFT (PBE-GGA) results for an optimized crystal structure of Ti2BiPb.

Computed properties:
D(E_F) = 5.12 states/eV per cell

```
Ti2BiPb
1.0
3.8658 0.0000 0.0000
0.0000 4.7366 0.0000
0.0000 0.0000 4.7366
Ti Bi Pb
2 1 1
direct
0.0000 0.0000 0.5000
0.0000 0.5000 0.0000
0.5000 0.0000 0.0000
0.5000 0.5000 0.5000
```

---

*Q*
DFT (PBE-GGA) results for an optimized crystal structure of Ti2BiPb.

Computed properties:
D(E_F) = 7.24 states/eV per cell

```
Ti2BiPb
1.0
6.3701 0.0000 0.0000
0.0000 6.3701 0.0000
3.1850 3.1850 6.4585
Bi Ti Pb
2 4 2
direct
0.7500 0.2500 0.5000
0.0000 0.0000 0.0000
0.8750 0.8693 0.7500
0.1307 0.6250 0.2500
0.6193 0.1250 0.2500
0.3750 0.3807 0.7500
0.2500 0.7500 0.5000
0.5000 0.5000 0.0000
```

---

*R*
DFT (PBE-GGA) results for an optimized crystal structure of Ti2BiPb.

Computed properties:
D(E_F) = 2.88 states/eV per cell

```
Ti2BiPb
1.0
4.0403 0.0000 0.0000
2.0201 3.4990 0.0000
2.0201 1.1663 6.8080
Bi Ti Pb
1 2 1
direct
0.6692 0.6692 0.9925
0.2508 0.2508 0.2477
0.0823 0.0823 0.7530
0.4977 0.4977 0.5068
```

---

Most favorable first, least favorable last: *P*, *R*, *Q*

---

*P*
DFT (PBE-GGA) results for an optimized crystal structure of Ti4BiPb.

Computed properties:
D(E_F) = 6.69 states/eV per cell

```
Ti4BiPb
1.0
-3.1737 -1.5381 -0.5111
3.3210 -3.4313 2.1280
-1.1431 4.6817 5.4317
Pb Ti Bi
1 4 1
direct
0.9978 0.4973 0.0019
0.3357 0.5072 0.6676
0.1633 0.9907 0.8394
0.6600 0.4874 0.3361
0.8324 0.0038 0.1643
0.4979 0.9973 0.5019
```

---

*Q*
DFT (PBE-GGA) results for an optimized crystal structure of Ti4BiPb.

Computed properties:
D(E_F) = 10.23 states/eV per cell

```
Ti4BiPb
1.0
-3.0325 -3.8488 -0.4803
5.8153 0.5322 7.6344
-4.0172 2.8077 2.8643
Ti Pb Bi
8 2 2
direct
0.0046 0.7488 0.0019
0.3135 0.5924 0.7500
0.9954 0.2512 0.9981
0.9954 0.2512 0.5019
0.5921 0.9041 0.2500
0.6865 0.4076 0.2500
0.4079 0.0959 0.7500
0.0046 0.7488 0.4981
0.3457 0.5753 0.2500
0.6543 0.4247 0.7500
0.7267 0.9260 0.7500
0.2733 0.0740 0.2500
```

---

Most favorable first, least favorable last: *P*, *Q*

---

*P*
DFT (PBE-GGA) results for an optimized crystal structure of TiBiPb3.

Computed properties:
D(E_F) = 3.95 states/eV per cell

```
TiBiPb3
1.0
-1.9945 -3.2762 -3.9018
3.3017 -4.0224 1.6896
-3.8803 -1.7386 3.4433
Ti Pb Bi
1 3 1
direct
0.0000 0.0000 0.0000
0.0000 0.5000 0.0000
0.5000 0.0000 0.0000
0.0000 0.0000 0.5000
0.5000 0.5000 0.5000
```

---

*Q*
DFT (PBE-GGA) results for an optimized crystal structure of TiBiPb3.

Computed properties:
D(E_F) = 14.13 states/eV per cell

```
TiBiPb3
1.0
5.9405 0.0000 0.0000
0.0000 5.9405 0.0000
0.0000 0.0000 5.9405
Pb Bi Ti
3 1 1
direct
0.0000 0.0000 0.5000
0.0000 0.5000 0.0000
0.5000 0.0000 0.0000
0.0000 0.0000 0.0000
0.5000 0.5000 0.5000
```

---

Most favorable first, least favorable last: *P*, *Q*

---

*P*
DFT (PBE-GGA) results for an optimized crystal structure of Tl3BiPb2.

Computed properties:
D(E_F) = 5.34 states/eV per cell

```
Tl3BiPb2
1.0
5.8169 0.6513 -1.5596
-2.4142 5.5006 -0.7791
0.7306 -0.5713 11.2961
Tl Pb Bi
6 4 2
direct
0.7082 0.4582 0.4163
0.0419 0.7919 0.0837
0.2918 0.5418 0.5837
0.3748 0.1248 0.7500
0.9581 0.2081 0.9163
0.6252 0.8752 0.2500
0.7930 0.0430 0.5860
0.2070 0.9570 0.4140
0.4570 0.7069 0.9140
0.5430 0.2931 0.0860
0.8749 0.6249 0.7500
0.1251 0.3751 0.2500
```

---

*Q*
DFT (PBE-GGA) results for an optimized crystal structure of Tl3BiPb2.

Computed properties:
D(E_F) = 5.53 states/eV per cell

```
Tl3BiPb2
1.0
-0.7705 -2.6936 -2.0049
1.0889 -6.8963 5.8868
-11.9654 -1.8481 4.1213
Tl Pb Bi
6 4 2
direct
0.9638 0.8536 0.2187
0.7378 0.8192 0.7052
0.2622 0.1808 0.2948
0.6024 0.8279 0.9674
0.0362 0.1464 0.7813
0.3976 0.1721 0.0326
0.1803 0.5193 0.1202
0.3544 0.8250 0.4662
0.6456 0.1750 0.5338
0.8197 0.4807 0.8798
0.4332 0.4921 0.6414
0.5668 0.5079 0.3586
```

---

Most favorable first, least favorable last: *P*, *Q*

---

*P*
DFT (PBE-GGA) results for an optimized crystal structure of Tl3Bi2Pb7.

Computed properties:
D(E_F) = 5.09 states/eV per cell

```
Tl3Bi2Pb7
1.0
-3.3034 2.6659 -1.0961
-2.7742 -4.1599 -1.7566
-5.5694 0.1121 17.0573
Tl Pb Bi
3 7 2
direct
0.0000 0.8130 0.6393
0.0000 0.1870 0.3607
0.5000 0.5000 0.0000
0.0000 0.4280 0.8577
0.5000 0.7256 0.4545
0.0000 0.0000 0.0000
0.0000 0.5720 0.1423
0.5000 0.0835 0.1629
0.5000 0.2744 0.5455
0.5000 0.9165 0.8371
0.5000 0.6440 0.2771
0.5000 0.3560 0.7229
```

---

*Q*
DFT (PBE-GGA) results for an optimized crystal structure of Tl3Bi2Pb7.

Computed properties:
D(E_F) = 3.85 states/eV per cell

```
Tl3Bi2Pb7
1.0
-0.4745 -3.3100 -0.8749
5.6185 -1.1803 1.4186
-5.3989 -3.9547 17.8889
Pb Tl Bi
7 3 2
direct
0.0000 0.6733 0.1463
0.0000 0.0000 0.0000
0.5000 0.2505 0.5358
0.5000 0.7495 0.4642
0.5000 0.1766 0.1842
0.5000 0.8234 0.8158
0.0000 0.3267 0.8537
0.0000 0.2297 0.3621
0.5000 0.5000 0.0000
0.0000 0.7703 0.6379
0.5000 0.7263 0.2967
0.5000 0.2737 0.7033
```

---

Most favorable first, least favorable last: *Q*, *P*

---

*P*
DFT (PBE-GGA) results for an optimized crystal structure of Tl12Bi2Pb5.

Computed properties:
D(E_F) = 9.52 states/eV per cell

```
Tl12Bi2Pb5
1.0
-0.3863 -1.9628 9.6988
7.0388 -1.9693 -5.1739
3.0034 7.6780 1.6735
Pb Bi Tl
5 2 12
direct
0.6824 0.3648 0.9892
0.0000 0.0000 0.5000
0.2403 0.4806 0.6097
0.7597 0.5194 0.3903
0.3176 0.6352 0.0108
0.7018 0.0000 0.0000
0.2982 0.0000 0.0000
0.1670 0.7525 0.3536
0.5855 0.7525 0.3536
0.0236 0.6891 0.7470
0.4145 0.2475 0.6464
0.6655 0.6891 0.7470
0.9764 0.3109 0.2530
0.3345 0.3109 0.2530
0.9119 0.8238 0.1168
0.0881 0.1762 0.8832
0.4541 0.9082 0.6820
0.5459 0.0918 0.3180
0.8330 0.2475 0.6464
```

---

*Q*
DFT (PBE-GGA) results for an optimized crystal structure of Tl12Bi2Pb5.

Computed properties:
D(E_F) = 9.69 states/eV per cell

```
Tl12Bi2Pb5
1.0
-3.7110 3.0764 1.0929
-0.6343 -1.5432 13.3652
5.1398 6.3700 10.6966
Pb Tl Bi
5 12 2
direct
0.5000 0.0000 0.0000
0.2980 0.7013 0.7013
0.7020 0.2987 0.2987
0.2981 0.2028 0.2028
0.7019 0.7972 0.7972
0.5971 0.6463 0.1611
0.1008 0.8981 0.8981
0.8002 0.9467 0.4522
0.4029 0.3537 0.8389
0.4029 0.8389 0.3537
0.1998 0.5478 0.0533
0.0887 0.4116 0.4116
0.8992 0.1019 0.1019
0.1998 0.0533 0.5478
0.5971 0.1611 0.6463
0.9113 0.5884 0.5884
0.8002 0.4522 0.9467
0.0000 0.2414 0.7586
0.0000 0.7586 0.2414
```

---

Most favorable first, least favorable last: *Q*, *P*